# Pa5Si2Sb2 | Alexandria via LeMat-Bulk | PBE | relaxed
data_Pa5Si2Sb2
_chemical_formula_sum 'Pa20 Si8 Sb8'
_symmetry_space_group_name_H-M 'C m c e'
_symmetry_Int_Tables_number 64
_symmetry_space_group_name_Hall '-C 2ac 2'
_cell_length_a 15.1165
_cell_length_b 7.6557
_cell_length_c 7.6634
_cell_angle_alpha 90.00
_cell_angle_beta 90.00
_cell_angle_gamma 90.00
loop_
_atom_site_label
_atom_site_type_symbol
_atom_site_fract_x
_atom_site_fract_y
_atom_site_fract_z
Pa1 Pa 0.0000 0.0000 0.0000
Pa2 Pa 0.1208 0.1796 0.3177
Si1 Si 0.0000 0.1168 0.6164
Sb1 Sb 0.2156 0.0000 0.0000
# - formation energy (no corrections) (kJ/mol of atoms) = -44.82
# - DOS at the Fermi energy (states/eV/cell) = 71.152


# TlTcSb | Alexandria via LeMat-Bulk | PBE | relaxed
data_TlTcSb
_chemical_formula_sum 'Tl4 Tc4 Sb4'
_symmetry_space_group_name_H-M 'F -4 3 m'
_symmetry_Int_Tables_number 216
_symmetry_space_group_name_Hall 'F -4 2 3'
_cell_length_a 6.5392
_cell_length_b 6.5392
_cell_length_c 6.5392
_cell_angle_alpha 90.00
_cell_angle_beta 90.00
_cell_angle_gamma 90.00
loop_
_atom_site_label
_atom_site_type_symbol
_atom_site_fract_x
_atom_site_fract_y
_atom_site_fract_z
Tl1 Tl 0.0000 0.0000 0.0000
Tc1 Tc 0.2500 0.2500 0.7500
Sb1 Sb 0.0000 0.0000 0.5000
# - formation energy (no corrections) (kJ/mol of atoms) = 47.75
# - relative energy among the computed polymorphs (meV per atom) = 241.1
# - DOS at the Fermi energy (states/eV/cell) = 10.384


# KNd2SnO5 | Alexandria via LeMat-Bulk | PBE | relaxed
data_KNd2SnO5
_chemical_formula_sum 'K2 Nd4 Sn2 O10'
_symmetry_space_group_name_H-M 'P 4/m b m'
_symmetry_Int_Tables_number 127
_symmetry_space_group_name_Hall '-P 4 2ab'
_cell_length_a 6.8961
_cell_length_b 6.8961
_cell_length_c 6.2440
_cell_angle_alpha 90.00
_cell_angle_beta 90.00
_cell_angle_gamma 90.00
loop_
_atom_site_label
_atom_site_type_symbol
_atom_site_fract_x
_atom_site_fract_y
_atom_site_fract_z
K1 K 0.0000 0.0000 0.0000
Nd1 Nd 0.1778 0.3222 0.5000
Sn1 Sn 0.0000 0.5000 0.0000
O1 O 0.0000 0.0000 0.5000
O2 O 0.1397 0.6397 0.2594
# - formation energy (no corrections) (kJ/mol of atoms) = -220.46
# - DOS at the Fermi energy (states/eV/cell) = 3.980


# Th2Zn4GaAu3 | Alexandria via LeMat-Bulk | PBE | relaxed
data_Th2Zn4GaAu3
_chemical_formula_sum 'Th2 Zn4 Ga1 Au3'
_symmetry_space_group_name_H-M 'P -4 m 2'
_symmetry_Int_Tables_number 115
_cell_length_a 4.2507
_cell_length_b 4.2507
_cell_length_c 11.2018
_cell_angle_alpha 90.00
_cell_angle_beta 90.00
_cell_angle_gamma 90.00
loop_
_symmetry_equiv_pos_as_xyz
'x,y,z'
'y,-x,-z'
'-x,-y,z'
'-y,x,-z'
'-x,y,z'
'-y,-x,-z'
'x,-y,z'
'y,x,-z'
loop_
_atom_site_label
_atom_site_type_symbol
_atom_site_fract_x
_atom_site_fract_y
_atom_site_fract_z
Th1 Th 0.0000 0.5000 0.2421
Zn1 Zn 0.0000 0.0000 0.5000
Zn2 Zn 0.0000 0.5000 0.8684
Zn3 Zn 0.5000 0.5000 0.5000
Ga1 Ga 0.5000 0.5000 0.0000
Au1 Au 0.0000 0.0000 0.0000
Au2 Au 0.0000 0.5000 0.6423
# - energy relative to the elements (eV/atom) = -0.443
# - DOS at the Fermi energy (states/eV/cell) = 5.666


# Ba2LaW | Alexandria via LeMat-Bulk | PBE | relaxed
data_Ba2LaW
_chemical_formula_sum 'Ba6 La3 W3'
_symmetry_space_group_name_H-M 'R -3 m'
_symmetry_Int_Tables_number 166
_symmetry_space_group_name_Hall '-R 3 2"'
_cell_length_a 3.5328
_cell_length_b 3.5328
_cell_length_c 37.9034
_cell_angle_alpha 90.00
_cell_angle_beta 90.00
_cell_angle_gamma 120.00
loop_
_atom_site_label
_atom_site_type_symbol
_atom_site_fract_x
_atom_site_fract_y
_atom_site_fract_z
Ba1 Ba 0.0000 0.0000 0.2362
La1 La 0.0000 0.0000 0.0000
W1 W 0.0000 0.0000 0.5000
# - relative energy among the computed polymorphs (meV per atom) = 452.4
# - energy relative to the elements (eV/atom) = 1.186
# - DOS at the Fermi energy (states/eV/cell) = 19.062


# Zn6Ag3Au2 | Alexandria via LeMat-Bulk | PBE | relaxed
data_Zn6Ag3Au2
_chemical_formula_sum 'Zn12 Ag6 Au4'
_symmetry_space_group_name_H-M 'C 1 2/m 1'
_symmetry_Int_Tables_number 12
_cell_length_a 12.7312
_cell_length_b 2.8687
_cell_length_c 10.5102
_cell_angle_alpha 90.00
_cell_angle_beta 100.30
_cell_angle_gamma 90.00
loop_
_symmetry_equiv_pos_as_xyz
'x,y,z'
'-x,-y,-z'
'-x,y,-z'
'x,-y,z'
'x+1/2,y+1/2,z'
'-x+1/2,-y+1/2,-z'
'-x+1/2,y+1/2,-z'
'x+1/2,-y+1/2,z'
loop_
_atom_site_label
_atom_site_type_symbol
_atom_site_fract_x
_atom_site_fract_y
_atom_site_fract_z
Zn1 Zn 0.0181 0.0000 0.2490
Zn2 Zn 0.1201 0.5000 0.1059
Zn3 Zn 0.1595 0.5000 0.6786
Ag1 Ag 0.0000 0.0000 0.5000
Ag2 Ag 0.1762 0.5000 0.4017
Au1 Au 0.1661 0.0000 0.9035
# - relative energy among the computed polymorphs (meV per atom) = 0.0
# - energy relative to the elements (eV/atom) = -0.043
# - DOS at the Fermi energy (states/eV/cell) = 6.374


# KCa2TbBr8 | Alexandria via LeMat-Bulk | PBE | relaxed
data_KCa2TbBr8
_chemical_formula_sum 'K1 Ca2 Tb1 Br8'
_symmetry_space_group_name_H-M 'P 1 2/m 1'
_symmetry_Int_Tables_number 10
_cell_length_a 6.7010
_cell_length_b 9.0536
_cell_length_c 7.0604
_cell_angle_alpha 90.00
_cell_angle_beta 90.41
_cell_angle_gamma 90.00
loop_
_symmetry_equiv_pos_as_xyz
'x,y,z'
'-x,-y,-z'
'-x,y,-z'
'x,-y,z'
loop_
_atom_site_label
_atom_site_type_symbol
_atom_site_fract_x
_atom_site_fract_y
_atom_site_fract_z
K1 K 0.0000 0.0000 0.0000
Ca1 Ca 0.5000 0.2487 0.5000
Tb1 Tb 0.0000 0.5000 0.0000
Br1 Br 0.2412 0.2811 0.1651
Br2 Br 0.2589 0.5000 0.6712
Br3 Br 0.2694 0.0000 0.6304
# - formation energy (no corrections) (kJ/mol of atoms) = -183.98
# - DOS at the Fermi energy (states/eV/cell) = 0.000


# In2MoP | Alexandria via LeMat-Bulk | PBE | relaxed
data_In2MoP
_chemical_formula_sum 'In4 Mo2 P2'
_symmetry_space_group_name_H-M 'I m m m'
_symmetry_Int_Tables_number 71
_symmetry_space_group_name_Hall '-I 2 2'
_cell_length_a 2.9958
_cell_length_b 3.8736
_cell_length_c 14.8092
_cell_angle_alpha 90.00
_cell_angle_beta 90.00
_cell_angle_gamma 90.00
loop_
_atom_site_label
_atom_site_type_symbol
_atom_site_fract_x
_atom_site_fract_y
_atom_site_fract_z
In1 In 0.0000 0.0000 0.1779
Mo1 Mo 0.0000 0.5000 0.5000
P1 P 0.0000 0.5000 0.0000
# - energy relative to the elements (eV/atom) = 0.100
# - DOS at the Fermi energy (states/eV/cell) = 4.116


# Pm2HoEr4Th | Alexandria via LeMat-Bulk | PBE | relaxed
data_Pm2HoEr4Th
_chemical_formula_sum 'Pm2 Ho1 Er4 Th1'
_symmetry_space_group_name_H-M 'P 4/m m m'
_symmetry_Int_Tables_number 123
_symmetry_space_group_name_Hall '-P 4 2'
_cell_length_a 5.8416
_cell_length_b 5.8416
_cell_length_c 7.4862
_cell_angle_alpha 90.00
_cell_angle_beta 90.00
_cell_angle_gamma 90.00
loop_
_atom_site_label
_atom_site_type_symbol
_atom_site_fract_x
_atom_site_fract_y
_atom_site_fract_z
Pm1 Pm 0.0000 0.0000 0.0000
Pm2 Pm 0.5000 0.5000 0.5000
Ho1 Ho 0.0000 0.0000 0.5000
Er1 Er 0.0000 0.5000 0.2510
Th1 Th 0.5000 0.5000 0.0000
# - energy relative to the elements (eV/atom) = 0.115
# - DOS at the Fermi energy (states/eV/cell) = 13.463